[1]
# GGA-PBE GaReS, relaxed
# magnetization = 0.000 μB/f.u.
# calculated total energy = -6.532 eV/atom
# ΔE_f (raw) = 2 meV/atom
# N(E_F) = 0.407 states/eV/atom
data_GaReS
_chemical_formula_sum 'Ga2 Re2 S2'
_space_group_name_H-M_alt 'P 1'
_space_group_IT_number 1
_cell_length_a 2.848
_cell_length_b 3.414
_cell_length_c 12.762
_cell_angle_alpha 90.00
_cell_angle_beta 90.97
_cell_angle_gamma 90.00
loop_
_space_group_symop_operation_xyz
'x,y,z'
loop_
_atom_site_label
_atom_site_fract_x
_atom_site_fract_y
_atom_site_fract_z
_atom_site_occupancy
Ga1 0.233 0.250 0.274 1
Ga2 0.767 0.750 0.726 1
Re1 0.254 0.750 0.551 1
Re2 0.746 0.250 0.449 1
S1 0.223 0.750 0.151 1
S2 0.777 0.250 0.849 1

[2]
# GGA-PBE GaReS2, relaxed
# magnetization = 0.000 μB/f.u.
# calculated total energy = -6.046 eV/atom
# ΔE_f (raw) = -113 meV/atom
# N(E_F) = 0.348 states/eV/atom
data_GaReS2
_chemical_formula_sum 'Ga1 Re1 S2'
_space_group_name_H-M_alt 'P 1'
_space_group_IT_number 1
_cell_length_a 9.188
_cell_length_b 9.188
_cell_length_c 9.188
_cell_angle_alpha 19.41
_cell_angle_beta 19.41
_cell_angle_gamma 19.41
loop_
_space_group_symop_operation_xyz
'x,y,z'
loop_
_atom_site_label
_atom_site_fract_x
_atom_site_fract_y
_atom_site_fract_z
_atom_site_occupancy
Ga1 0.000 0.000 0.000 1
Re1 0.500 0.500 0.500 1
S1 0.106 0.106 0.106 1
S2 0.894 0.894 0.894 1

[3]
# GGA-PBE Ga3ReS, relaxed
# magnetization = 2.114 μB/f.u.
# excess energy over the best structure of this formula in the dataset = 0.578 eV/atom
# calculated total energy = -3.963 eV/atom
# ΔE_f (raw) = 1168 meV/atom
# N(E_F) = 0.752 states/eV/atom
data_Ga3ReS
_chemical_formula_sum 'Ga3 Re1 S1'
_space_group_name_H-M_alt 'P 1'
_space_group_IT_number 1
_cell_length_a 4.636
_cell_length_b 4.636
_cell_length_c 4.636
_cell_angle_alpha 90.00
_cell_angle_beta 90.00
_cell_angle_gamma 90.00
loop_
_space_group_symop_operation_xyz
'x,y,z'
loop_
_atom_site_label
_atom_site_fract_x
_atom_site_fract_y
_atom_site_fract_z
_atom_site_occupancy
Ga1 0.000 0.000 0.500 1
Ga2 0.000 0.500 0.000 1
Ga3 0.500 0.000 0.000 1
Re1 0.500 0.500 0.500 1
S1 0.000 0.000 0.000 1

[4]
# GGA-PBE GaRe2S, relaxed
# magnetization = 0.000 μB/f.u.
# excess energy over the best structure of this formula in the dataset = 0.000 eV/atom
# calculated total energy = -7.520 eV/atom
# ΔE_f (raw) = 493 meV/atom
# N(E_F) = 0.749 states/eV/atom
data_GaRe2S
_chemical_formula_sum 'Ga1 Re2 S1'
_space_group_name_H-M_alt 'P 1'
_space_group_IT_number 1
_cell_length_a 4.285
_cell_length_b 4.285
_cell_length_c 4.285
_cell_angle_alpha 60.00
_cell_angle_beta 60.00
_cell_angle_gamma 60.00
loop_
_space_group_symop_operation_xyz
'x,y,z'
loop_
_atom_site_label
_atom_site_fract_x
_atom_site_fract_y
_atom_site_fract_z
_atom_site_occupancy
Ga1 0.000 0.000 0.000 1
Re1 0.250 0.250 0.250 1
Re2 0.750 0.750 0.750 1
S1 0.500 0.500 0.500 1

[5]
# GGA-PBE GaReS2, relaxed
# magnetization = 0.000 μB/f.u.
# calculated total energy = -5.668 eV/atom
# ΔE_f (raw) = 265 meV/atom
# N(E_F) = 0.551 states/eV/atom
data_GaReS2
_chemical_formula_sum 'Ga1 Re1 S2'
_space_group_name_H-M_alt 'P 1'
_space_group_IT_number 1
_cell_length_a 7.753
_cell_length_b 7.753
_cell_length_c 7.753
_cell_angle_alpha 24.21
_cell_angle_beta 24.21
_cell_angle_gamma 24.21
loop_
_space_group_symop_operation_xyz
'x,y,z'
loop_
_atom_site_label
_atom_site_fract_x
_atom_site_fract_y
_atom_site_fract_z
_atom_site_occupancy
Ga1 0.000 0.000 0.000 1
Re1 0.500 0.500 0.500 1
S1 0.400 0.400 0.400 1
S2 0.600 0.600 0.600 1

[6]
# GGA-PBE GaRe2S, relaxed
# magnetization = 0.000 μB/f.u.
# excess energy over the best structure of this formula in the dataset = 0.038 eV/atom
# calculated total energy = -7.481 eV/atom
# ΔE_f (raw) = 531 meV/atom
# N(E_F) = 0.879 states/eV/atom
data_GaRe2S
_chemical_formula_sum 'Ga2 Re4 S2'
_space_group_name_H-M_alt 'P 1'
_space_group_IT_number 1
_cell_length_a 8.809
_cell_length_b 8.809
_cell_length_c 8.809
_cell_angle_alpha 153.59
_cell_angle_beta 153.59
_cell_angle_gamma 37.70
loop_
_space_group_symop_operation_xyz
'x,y,z'
loop_
_atom_site_label
_atom_site_fract_x
_atom_site_fract_y
_atom_site_fract_z
_atom_site_occupancy
Ga1 0.000 0.000 0.000 1
Ga2 0.750 0.250 0.500 1
Re1 0.191 0.625 0.066 1
Re2 0.375 0.441 0.566 1
Re3 0.559 0.125 0.934 1
Re4 0.875 0.809 0.434 1
S1 0.250 0.750 0.500 1
S2 0.500 0.500 0.000 1

[7]
# GGA-PBE GaRe2S2, relaxed
# magnetization = 0.000 μB/f.u.
# excess energy over the best structure of this formula in the dataset = 0.126 eV/atom
# calculated total energy = -6.724 eV/atom
# ΔE_f (raw) = 511 meV/atom
# N(E_F) = 0.878 states/eV/atom
data_GaRe2S2
_chemical_formula_sum 'Ga2 Re4 S4'
_space_group_name_H-M_alt 'P 1'
_space_group_IT_number 1
_cell_length_a 7.127
_cell_length_b 7.127
_cell_length_c 2.927
_cell_angle_alpha 90.00
_cell_angle_beta 90.00
_cell_angle_gamma 90.00
loop_
_space_group_symop_operation_xyz
'x,y,z'
loop_
_atom_site_label
_atom_site_fract_x
_atom_site_fract_y
_atom_site_fract_z
_atom_site_occupancy
Ga1 0.000 0.000 0.000 1
Ga2 0.500 0.500 0.000 1
Re1 0.165 0.335 0.000 1
Re2 0.335 0.835 0.000 1
Re3 0.665 0.165 0.000 1
Re4 0.835 0.665 0.000 1
S1 0.140 0.640 0.500 1
S2 0.360 0.140 0.500 1
S3 0.640 0.860 0.500 1
S4 0.860 0.360 0.500 1

[8]
# GGA-PBE GaRe2S2, relaxed
# magnetization = 0.000 μB/f.u.
# excess energy over the best structure of this formula in the dataset = 0.000 eV/atom
# calculated total energy = -6.850 eV/atom
# ΔE_f (raw) = 386 meV/atom
# N(E_F) = 0.715 states/eV/atom
data_GaRe2S2
_chemical_formula_sum 'Ga1 Re2 S2'
_space_group_name_H-M_alt 'P 1'
_space_group_IT_number 1
_cell_length_a 5.302
_cell_length_b 5.302
_cell_length_c 5.302
_cell_angle_alpha 129.24
_cell_angle_beta 129.24
_cell_angle_gamma 74.62
loop_
_space_group_symop_operation_xyz
'x,y,z'
loop_
_atom_site_label
_atom_site_fract_x
_atom_site_fract_y
_atom_site_fract_z
_atom_site_occupancy
Ga1 0.000 0.000 0.000 1
Re1 0.362 0.362 0.000 1
Re2 0.638 0.638 0.000 1
S1 0.250 0.750 0.500 1
S2 0.750 0.250 0.500 1

[9]
# GGA-PBE Ga3ReS, relaxed
# magnetization = 1.704 μB/f.u.
# excess energy over the best structure of this formula in the dataset = 0.000 eV/atom
# calculated total energy = -4.541 eV/atom
# ΔE_f (raw) = 590 meV/atom
# N(E_F) = 1.275 states/eV/atom
data_Ga3ReS
_chemical_formula_sum 'Ga3 Re1 S1'
_space_group_name_H-M_alt 'P 1'
_space_group_IT_number 1
_cell_length_a 4.889
_cell_length_b 4.889
_cell_length_c 4.889
_cell_angle_alpha 90.00
_cell_angle_beta 90.00
_cell_angle_gamma 90.00
loop_
_space_group_symop_operation_xyz
'x,y,z'
loop_
_atom_site_label
_atom_site_fract_x
_atom_site_fract_y
_atom_site_fract_z
_atom_site_occupancy
Ga1 0.000 0.000 0.500 1
Ga2 0.000 0.500 0.000 1
Ga3 0.500 0.000 0.000 1
Re1 0.000 0.000 0.000 1
S1 0.500 0.500 0.500 1

[10]
# GGA-PBE Ga4ReS2, relaxed
# magnetization = 1.184 μB/f.u.
# calculated total energy = -4.477 eV/atom
# ΔE_f (raw) = 210 meV/atom
# N(E_F) = 0.783 states/eV/atom
data_Ga4ReS2
_chemical_formula_sum 'Ga4 Re1 S2'
_space_group_name_H-M_alt 'P 1'
_space_group_IT_number 1
_cell_length_a 7.741
_cell_length_b 7.741
_cell_length_c 7.741
_cell_angle_alpha 143.10
_cell_angle_beta 143.10
_cell_angle_gamma 53.18
loop_
_space_group_symop_operation_xyz
'x,y,z'
loop_
_atom_site_label
_atom_site_fract_x
_atom_site_fract_y
_atom_site_fract_z
_atom_site_occupancy
Ga1 0.000 0.500 0.500 1
Ga2 0.178 0.178 0.000 1
Ga3 0.500 0.000 0.500 1
Ga4 0.822 0.822 0.000 1
Re1 0.000 0.000 0.000 1
S1 0.337 0.337 0.000 1
S2 0.663 0.663 0.000 1

[11]
# GGA-PBE GaReS2, relaxed
# magnetization = 0.000 μB/f.u.
# calculated total energy = -5.867 eV/atom
# ΔE_f (raw) = 66 meV/atom
# N(E_F) = 0.305 states/eV/atom
data_GaReS2
_chemical_formula_sum 'Ga2 Re2 S4'
_space_group_name_H-M_alt 'P 1'
_space_group_IT_number 1
_cell_length_a 6.545
_cell_length_b 6.545
_cell_length_c 6.545
_cell_angle_alpha 124.02
_cell_angle_beta 124.02
_cell_angle_gamma 83.17
loop_
_space_group_symop_operation_xyz
'x,y,z'
loop_
_atom_site_label
_atom_site_fract_x
_atom_site_fract_y
_atom_site_fract_z
_atom_site_occupancy
Ga1 0.000 0.000 0.000 1
Ga2 0.750 0.250 0.500 1
Re1 0.250 0.750 0.500 1
Re2 0.500 0.500 0.000 1
S1 0.195 0.625 0.070 1
S2 0.375 0.445 0.570 1
S3 0.555 0.125 0.930 1
S4 0.875 0.805 0.430 1

[12]
# GGA-PBE GaRe2SiS, relaxed
# magnetization = 0.000 μB/f.u.
# calculated total energy = -6.008 eV/atom
# ΔE_f (raw) = 1487 meV/atom
# N(E_F) = 1.130 states/eV/atom
data_GaRe2SiS
_chemical_formula_sum 'Ga1 Re2 Si1 S1'
_space_group_name_H-M_alt 'P 1'
_space_group_IT_number 1
_cell_length_a 4.532
_cell_length_b 4.532
_cell_length_c 4.454
_cell_angle_alpha 90.00
_cell_angle_beta 90.00
_cell_angle_gamma 90.00
loop_
_space_group_symop_operation_xyz
'x,y,z'
loop_
_atom_site_label
_atom_site_fract_x
_atom_site_fract_y
_atom_site_fract_z
_atom_site_occupancy
Ga1 0.000 0.000 0.000 1
Re1 0.000 0.500 0.500 1
Re2 0.500 0.000 0.500 1
Si1 0.000 0.000 0.500 1
S1 0.500 0.500 0.000 1

[13]
# GGA-PBE SrGaRe2S, relaxed
# magnetization = 0.000 μB/f.u.
# calculated total energy = -6.093 eV/atom
# ΔE_f (raw) = 654 meV/atom
# N(E_F) = 1.083 states/eV/atom
data_SrGaRe2S
_chemical_formula_sum 'Sr1 Ga1 Re2 S1'
_space_group_name_H-M_alt 'P 1'
_space_group_IT_number 1
_cell_length_a 4.427
_cell_length_b 4.427
_cell_length_c 5.439
_cell_angle_alpha 90.00
_cell_angle_beta 90.00
_cell_angle_gamma 90.00
loop_
_space_group_symop_operation_xyz
'x,y,z'
loop_
_atom_site_label
_atom_site_fract_x
_atom_site_fract_y
_atom_site_fract_z
_atom_site_occupancy
Sr1 0.000 0.000 0.000 1
Ga1 0.500 0.500 0.000 1
Re1 0.000 0.500 0.500 1
Re2 0.500 0.000 0.500 1
S1 0.500 0.500 0.500 1

[14]
# GGA-PBE TaGaRe2S, relaxed
# magnetization = 0.000 μB/f.u.
# calculated total energy = -7.763 eV/atom
# ΔE_f (raw) = 1018 meV/atom
# N(E_F) = 0.986 states/eV/atom
data_TaGaRe2S
_chemical_formula_sum 'Ta1 Ga1 Re2 S1'
_space_group_name_H-M_alt 'P 1'
_space_group_IT_number 1
_cell_length_a 4.314
_cell_length_b 4.314
_cell_length_c 4.682
_cell_angle_alpha 90.00
_cell_angle_beta 90.00
_cell_angle_gamma 90.00
loop_
_space_group_symop_operation_xyz
'x,y,z'
loop_
_atom_site_label
_atom_site_fract_x
_atom_site_fract_y
_atom_site_fract_z
_atom_site_occupancy
Ta1 0.000 0.000 0.000 1
Ga1 0.500 0.500 0.000 1
Re1 0.000 0.500 0.500 1
Re2 0.500 0.000 0.500 1
S1 0.500 0.500 0.500 1

[15]
# GGA-PBE Ga2ReTeS, relaxed
# magnetization = 0.000 μB/f.u.
# calculated total energy = -4.423 eV/atom
# ΔE_f (raw) = 731 meV/atom
# N(E_F) = 0.954 states/eV/atom
data_Ga2ReTeS
_chemical_formula_sum 'Ga2 Re1 Te1 S1'
_space_group_name_H-M_alt 'P 1'
_space_group_IT_number 1
_cell_length_a 5.036
_cell_length_b 5.036
_cell_length_c 4.381
_cell_angle_alpha 90.00
_cell_angle_beta 90.00
_cell_angle_gamma 90.00
loop_
_space_group_symop_operation_xyz
'x,y,z'
loop_
_atom_site_label
_atom_site_fract_x
_atom_site_fract_y
_atom_site_fract_z
_atom_site_occupancy
Ga1 0.000 0.500 0.000 1
Ga2 0.500 0.000 0.000 1
Re1 0.000 0.000 0.500 1
Te1 0.500 0.500 0.500 1
S1 0.000 0.000 0.000 1

[16]
# GGA-PBE GaReSb, relaxed
# magnetization = 0.000 μB/f.u.
# calculated total energy = -6.394 eV/atom
# ΔE_f (raw) = 138 meV/atom
# N(E_F) = 0.291 states/eV/atom
data_GaReSb
_chemical_formula_sum 'Ga4 Re4 Sb4'
_space_group_name_H-M_alt 'P 1'
_space_group_IT_number 1
_cell_length_a 6.695
_cell_length_b 6.695
_cell_length_c 7.262
_cell_angle_alpha 90.00
_cell_angle_beta 90.00
_cell_angle_gamma 133.25
loop_
_space_group_symop_operation_xyz
'x,y,z'
loop_
_atom_site_label
_atom_site_fract_x
_atom_site_fract_y
_atom_site_fract_z
_atom_site_occupancy
Ga1 0.196 0.304 0.250 1
Ga2 0.304 0.196 0.750 1
Ga3 0.696 0.804 0.250 1
Ga4 0.804 0.696 0.750 1
Re1 0.102 0.898 0.468 1
Re2 0.398 0.602 0.968 1
Re3 0.602 0.398 0.032 1
Re4 0.898 0.102 0.532 1
Sb1 0.185 0.815 0.109 1
Sb2 0.315 0.685 0.609 1
Sb3 0.685 0.315 0.391 1
Sb4 0.815 0.185 0.891 1

[17]
# GGA-PBE GaRe2Sb, relaxed
# magnetization = 0.000 μB/f.u.
# excess energy over the best structure of this formula in the dataset = 0.000 eV/atom
# calculated total energy = -7.542 eV/atom
# ΔE_f (raw) = 469 meV/atom
# N(E_F) = 1.023 states/eV/atom
data_GaRe2Sb
_chemical_formula_sum 'Ga1 Re2 Sb1'
_space_group_name_H-M_alt 'P 1'
_space_group_IT_number 1
_cell_length_a 4.500
_cell_length_b 4.500
_cell_length_c 4.500
_cell_angle_alpha 60.00
_cell_angle_beta 60.00
_cell_angle_gamma 60.00
loop_
_space_group_symop_operation_xyz
'x,y,z'
loop_
_atom_site_label
_atom_site_fract_x
_atom_site_fract_y
_atom_site_fract_z
_atom_site_occupancy
Ga1 0.000 0.000 0.000 1
Re1 0.250 0.250 0.250 1
Re2 0.750 0.750 0.750 1
Sb1 0.500 0.500 0.500 1

[18]
# GGA-PBE GaRe3Sb, relaxed
# magnetization = 2.331 μB/f.u.
# excess energy over the best structure of this formula in the dataset = 0.716 eV/atom
# calculated total energy = -6.319 eV/atom
# ΔE_f (raw) = 2579 meV/atom
# N(E_F) = 0.742 states/eV/atom
data_GaRe3Sb
_chemical_formula_sum 'Ga1 Re3 Sb1'
_space_group_name_H-M_alt 'P 1'
_space_group_IT_number 1
_cell_length_a 4.854
_cell_length_b 4.854
_cell_length_c 4.854
_cell_angle_alpha 90.00
_cell_angle_beta 90.00
_cell_angle_gamma 90.00
loop_
_space_group_symop_operation_xyz
'x,y,z'
loop_
_atom_site_label
_atom_site_fract_x
_atom_site_fract_y
_atom_site_fract_z
_atom_site_occupancy
Ga1 0.000 0.000 0.000 1
Re1 0.000 0.500 0.500 1
Re2 0.500 0.000 0.500 1
Re3 0.500 0.500 0.000 1
Sb1 0.500 0.500 0.500 1

[19]
# GGA-PBE GaRe3Sb, relaxed
# magnetization = 2.472 μB/f.u.
# excess energy over the best structure of this formula in the dataset = 0.000 eV/atom
# calculated total energy = -7.036 eV/atom
# ΔE_f (raw) = 1863 meV/atom
# N(E_F) = 0.582 states/eV/atom
data_GaRe3Sb
_chemical_formula_sum 'Ga1 Re3 Sb1'
_space_group_name_H-M_alt 'P 1'
_space_group_IT_number 1
_cell_length_a 4.594
_cell_length_b 4.594
_cell_length_c 4.594
_cell_angle_alpha 90.00
_cell_angle_beta 90.00
_cell_angle_gamma 90.00
loop_
_space_group_symop_operation_xyz
'x,y,z'
loop_
_atom_site_label
_atom_site_fract_x
_atom_site_fract_y
_atom_site_fract_z
_atom_site_occupancy
Ga1 0.000 0.000 0.000 1
Re1 0.000 0.000 0.500 1
Re2 0.000 0.500 0.000 1
Re3 0.500 0.000 0.000 1
Sb1 0.500 0.500 0.500 1

[20]
# GGA-PBE GaReSb2, relaxed
# magnetization = 0.000 μB/f.u.
# calculated total energy = -5.303 eV/atom
# ΔE_f (raw) = 627 meV/atom
# N(E_F) = 0.193 states/eV/atom
data_GaReSb2
_chemical_formula_sum 'Ga2 Re2 Sb4'
_space_group_name_H-M_alt 'P 1'
_space_group_IT_number 1
_cell_length_a 7.636
_cell_length_b 7.636
_cell_length_c 7.636
_cell_angle_alpha 132.76
_cell_angle_beta 132.76
_cell_angle_gamma 69.04
loop_
_space_group_symop_operation_xyz
'x,y,z'
loop_
_atom_site_label
_atom_site_fract_x
_atom_site_fract_y
_atom_site_fract_z
_atom_site_occupancy
Ga1 0.000 0.000 0.000 1
Ga2 0.750 0.250 0.500 1
Re1 0.250 0.750 0.500 1
Re2 0.500 0.500 0.000 1
Sb1 0.152 0.625 0.027 1
Sb2 0.375 0.402 0.527 1
Sb3 0.598 0.125 0.973 1
Sb4 0.875 0.848 0.473 1